Density functional theory data (PBE+U) for an optimized crystal structure of Ca2WO5.

Output
Space group: C2
M_tot in μB/f.u.: 0.00
E above lowest polymorph in meV/atom: 22
E_tot in hartree per atom: -0.2622

Cell: 4.097 5.881 6.129 Å, 99.12 109.49 110.39°
Fractional positions:
O 0.774 0.793 0.706
O 0.143 0.318 0.904
O 0.330 0.263 0.350
O 0.558 0.028 0.028
O 0.976 0.738 0.151
Ca 0.609 0.393 0.763
Ca 0.508 0.663 0.293
W 0.101 0.028 0.028